Compound: CoHgCl
Source: Alexandria via LeMat-Bulk
Functional: PBE
Structure: optimized geometry

The density of states at the Fermi level comes out at 3.744 states/eV/f.u. The calculation puts the distance to the lowest polymorph of the same formula at 180.4 meV per atom. The theoretical density comes out at 7.55 g/cm³. The calculation puts the raw formation energy at 0.17 eV/atom. For the total magnetization, the calculation gives 8.22 μB/cell.

The space group is Fmm2 (No. 42) and the conventional cell measures 3.326, 5.929 and 13.156 Å, with angles of 90.00, 90.00 and 90.00 degrees. The asymmetric unit holds Co at (0.000, 0.000, 0.000), Hg at (0.000, 0.000, 0.341) and Cl at (0.000, 0.000, 0.615).